Computed, not measured: an optimized crystal structure of Tl2Ni2AsO6 at the PBE+U level of DFT.

Unit cell a=5.2285 b=5.2285 c=6.5189 alpha=97.59 beta=97.59 gamma=119.56
Fractional coordinates of all 11 atoms:
Tl1 0.1698 0.8302 0.0000
Tl2 0.8302 0.1698 0.0000
Ni1 0.3339 0.6661 0.5000
Ni2 0.6661 0.3339 0.5000
As1 0.0000 0.0000 0.5000
O1 0.0524 0.3574 0.6602
O2 0.2496 0.2496 0.3353
O3 0.3574 0.0524 0.6602
O4 0.6426 0.9476 0.3398
O5 0.7504 0.7504 0.6647
O6 0.9476 0.6426 0.3398

Results
- Total energy: -0.18220 hartree per atom